1.
The following is a PBE calculation of an optimized crystal structure of VNi4P16, from Alexandria.

Cell lengths 10.1932, 10.1932, 11.1014 Å; angles 100.49, 100.49, 32.27 degrees
Element x y z (fractional)
V 0.1065 0.8935 0.7500
V 0.8935 0.1065 0.2500
Ni 0.1932 0.3056 0.1289
Ni 0.3000 0.4877 0.4261
Ni 0.3056 0.1932 0.6289
Ni 0.4877 0.3000 0.9261
Ni 0.5123 0.7000 0.0739
Ni 0.6944 0.8068 0.3711
Ni 0.7000 0.5123 0.5739
Ni 0.8068 0.6944 0.8711
P 0.0564 0.3852 0.3122
P 0.1037 0.1782 0.5418
P 0.1180 0.1190 0.8368
P 0.1190 0.1180 0.3368
P 0.1577 0.7209 0.9178
P 0.1782 0.1037 0.0418
P 0.2223 0.3524 0.9463
P 0.2281 0.7636 0.3912
P 0.2307 0.4886 0.2193
P 0.2364 0.7719 0.1088
P 0.2791 0.8423 0.5822
P 0.3524 0.2223 0.4463
P 0.3852 0.0564 0.8122
P 0.3857 0.4943 0.6339
P 0.4886 0.2307 0.7193
P 0.4943 0.3857 0.1339
P 0.5057 0.6143 0.8661
P 0.5114 0.7693 0.2807
P 0.6143 0.5057 0.3661
P 0.6148 0.9436 0.1878
P 0.6476 0.7777 0.5537
P 0.7209 0.1577 0.4178
P 0.7636 0.2281 0.8912
P 0.7693 0.5114 0.7807
P 0.7719 0.2364 0.6088
P 0.7777 0.6476 0.0537
P 0.8218 0.8963 0.9582
P 0.8423 0.2791 0.0822
P 0.8810 0.8820 0.6632
P 0.8820 0.8810 0.1632
P 0.8963 0.8218 0.4582
P 0.9436 0.6148 0.6878

Summary:
* calculated volume: 604.7 Å³/cell
* energy of formation from the pure elements: -621 kJ/mol of formula units
* total moment: 0.000 μB per formula unit
* space-group type: C2/c (15)
* E: -5.964 eV per atom

2.
The following is a PBE calculation of an optimized crystal structure of VNiP2, from Alexandria.

Cell lengths 4.1145, 4.1145, 4.1145 Å; angles 60.00, 60.00, 60.00 degrees
Element x y z (fractional)
V 0.0000 0.0000 0.0000
Ni 0.5000 0.5000 0.5000
P 0.2500 0.2500 0.2500
P 0.7500 0.7500 0.7500

Summary:
* calculated volume: 49.3 Å³/cell
* energy of formation from the pure elements: -69 kJ/mol of formula units
* total moment: 0.000 μB per formula unit
* space-group type: Fm-3m (225)
* E: -6.608 eV per atom

3.
The following is a PBE calculation of an optimized crystal structure of V3NiP, from Alexandria.

Cell lengths 4.2894, 4.2894, 4.2894 Å; angles 90.00, 90.00, 90.00 degrees
Element x y z (fractional)
V 0.0000 0.0000 0.5000
V 0.0000 0.5000 0.0000
V 0.5000 0.0000 0.0000
Ni 0.5000 0.5000 0.5000
P 0.0000 0.0000 0.0000

Summary:
* calculated volume: 78.9 Å³/cell
* energy of formation from the pure elements: 212 kJ/mol of formula units
* total moment: 2.467 μB per formula unit
* space-group type: Pm-3m (221)
* distance to the lowest polymorph of the same formula: 0 meV per atom
* E: -7.270 eV per atom

4.
The following is a PBE calculation of an optimized crystal structure of VNi2P, from Alexandria.

Cell lengths 12.8507, 6.4396, 4.5243 Å; angles 90.00, 90.00, 90.00 degrees
Element x y z (fractional)
V 0.1063 0.2500 0.2404
V 0.1392 0.7500 0.0427
V 0.3608 0.2500 0.5427
V 0.3937 0.7500 0.7404
V 0.6063 0.2500 0.2596
V 0.6392 0.7500 0.4573
V 0.8608 0.2500 0.9573
V 0.8937 0.7500 0.7596
Ni 0.0350 0.0566 0.7596
Ni 0.0350 0.4434 0.7596
Ni 0.2143 0.5554 0.5408
Ni 0.2143 0.9446 0.5408
Ni 0.2857 0.0554 0.0408
Ni 0.2857 0.4446 0.0408
Ni 0.4650 0.5566 0.2596
Ni 0.4650 0.9434 0.2596
Ni 0.5350 0.0566 0.7404
Ni 0.5350 0.4434 0.7404
Ni 0.7143 0.5554 0.9592
Ni 0.7143 0.9446 0.9592
Ni 0.7857 0.0554 0.4592
Ni 0.7857 0.4446 0.4592
Ni 0.9650 0.5566 0.2404
Ni 0.9650 0.9434 0.2404
P 0.0682 0.7500 0.5388
P 0.1836 0.2500 0.7506
P 0.3164 0.7500 0.2506
P 0.4318 0.2500 0.0388
P 0.5682 0.7500 0.9612
P 0.6836 0.2500 0.7494
P 0.8164 0.7500 0.2494
P 0.9318 0.2500 0.4612

Summary:
* calculated volume: 374.4 Å³/cell
* energy of formation from the pure elements: -204 kJ/mol of formula units
* total moment: 0.215 μB per formula unit
* space-group type: Pnma (62)
* E: -7.050 eV per atom

5.
The following is a PBE calculation of an optimized crystal structure of VNiP2, from Alexandria.

Cell lengths 8.2139, 8.2139, 8.2139 Å; angles 19.60, 19.60, 19.60 degrees
Element x y z (fractional)
V 0.0000 0.0000 0.0000
Ni 0.5000 0.5000 0.5000
P 0.0976 0.0976 0.0976
P 0.9024 0.9024 0.9024

Summary:
* calculated volume: 54.5 Å³/cell
* energy of formation from the pure elements: 49 kJ/mol of formula units
* total moment: 0.000 μB per formula unit
* space-group type: R-3m (166)
* E: -6.303 eV per atom

6.
The following is a PBE calculation of an optimized crystal structure of V4Ni2P, from Alexandria.

Cell lengths 6.5877, 6.5877, 6.5877 Å; angles 142.05, 142.05, 54.75 degrees
Element x y z (fractional)
V 0.0000 0.5000 0.5000
V 0.1938 0.1938 0.0000
V 0.5000 0.0000 0.5000
V 0.8062 0.8062 0.0000
Ni 0.3848 0.3848 0.0000
Ni 0.6152 0.6152 0.0000
P 0.0000 0.0000 0.0000

Summary:
* calculated volume: 107.3 Å³/cell
* energy of formation from the pure elements: 266 kJ/mol of formula units
* total moment: 2.622 μB per formula unit
* space-group type: I4/mmm (139)
* E: -7.241 eV per atom

7.
The following is a PBE calculation of an optimized crystal structure of V2NiP, from Alexandria.

Cell lengths 3.5364, 3.5364, 3.8249 Å; angles 90.00, 90.00, 90.00 degrees
Element x y z (fractional)
V 0.0000 0.5000 0.0000
V 0.5000 0.0000 0.0000
Ni 0.0000 0.0000 0.5000
P 0.5000 0.5000 0.5000

Summary:
* calculated volume: 47.8 Å³/cell
* energy of formation from the pure elements: -164 kJ/mol of formula units
* total moment: 0.000 μB per formula unit
* space-group type: P4/mmm (123)
* E: -7.782 eV per atom

8.
The following is a PBE calculation of an optimized crystal structure of V2NiP2, from Alexandria.

Cell lengths 7.2451, 7.2451, 5.4414 Å; angles 90.00, 90.00, 153.49 degrees
Element x y z (fractional)
V 0.0224 0.9776 0.5000
V 0.1965 0.8035 0.8274
V 0.8035 0.1965 0.3274
V 0.9776 0.0224 0.0000
Ni 0.3878 0.6122 0.6762
Ni 0.6122 0.3878 0.1762
P 0.1820 0.8180 0.3713
P 0.4298 0.5702 0.2849
P 0.5702 0.4298 0.7849
P 0.8180 0.1820 0.8713

Summary:
* calculated volume: 127.5 Å³/cell
* energy of formation from the pure elements: -323 kJ/mol of formula units
* total moment: 0.000 μB per formula unit
* space-group type: Cmc2_1 (36)
* E: -7.637 eV per atom

> Among the records above, which one has the lowest calculated volume?

V2NiP